The following is a meta-GGA SCAN calculation of TlTe4Pb at its PBEsol-relaxed geometry, from Alexandria.

For the total DFT energy (no corrections), the calculation gives -49.305 eV per atom. For the density of states at the Fermi level, the calculation gives 0.63 states/eV/atom.

The space group is F-43m (No. 216) and the conventional cell measures 9.0320, 9.0320 and 9.0320 Å, with angles of 90.00, 90.00 and 90.00 degrees. The asymmetric unit holds Tl at (0.0000, 0.0000, 0.0000), Te at (0.1249, 0.1249, 0.3751) and Pb at (0.2500, 0.2500, 0.7500).